Record 1
# PBE+U Cs2KNi2F7, relaxed
data_Cs2KNi2F7
_chemical_formula_sum 'Cs4 K2 Ni4 F14'
_symmetry_space_group_name_H-M 'I 4/m m m'
_symmetry_Int_Tables_number 139
_symmetry_space_group_name_Hall '-I 4 2'
_cell_length_a 4.179
_cell_length_b 4.179
_cell_length_c 22.975
_cell_angle_alpha 90.00
_cell_angle_beta 90.00
_cell_angle_gamma 90.00
loop_
_atom_site_label
_atom_site_type_symbol
_atom_site_fract_x
_atom_site_fract_y
_atom_site_fract_z
Cs1 Cs 0.000 0.000 0.183
K1 K 0.000 0.000 0.000
Ni1 Ni 0.000 0.000 0.412
F1 F 0.000 0.000 0.324
F2 F 0.000 0.000 0.500
F3 F 0.000 0.500 0.086
# - N(E_F): 0.000 states/eV/atom
# - Total magnetization: 8.0 μB/cell
# - Raw total energy: -4.242 eV/atom


Record 2
# PBE+U CsKNiF6, relaxed
data_CsKNiF6
_chemical_formula_sum 'Cs1 K1 Ni1 F6'
_symmetry_space_group_name_H-M 'P 1'
_symmetry_Int_Tables_number 1
_cell_length_a 5.628
_cell_length_b 6.185
_cell_length_c 6.208
_cell_angle_alpha 60.13
_cell_angle_beta 89.93
_cell_angle_gamma 89.85
loop_
_symmetry_equiv_pos_as_xyz
'x,y,z'
loop_
_atom_site_label
_atom_site_type_symbol
_atom_site_fract_x
_atom_site_fract_y
_atom_site_fract_z
Cs1 Cs 0.000 0.000 0.000
K1 K 0.501 0.334 0.332
Ni1 Ni 0.499 0.666 0.667
F1 F 0.313 0.430 0.906
F2 F 0.313 0.666 0.430
F3 F 0.316 0.907 0.666
F4 F 0.682 0.425 0.668
F5 F 0.685 0.666 0.905
F6 F 0.685 0.903 0.429
# - N(E_F): 0.000 states/eV/atom
# - Total magnetization: 0.1 μB/cell
# - Raw total energy: -3.876 eV/atom